(1)
# TaTlCuNi, optimized geometry, DFT PBE
data_TaTlCuNi
_chemical_formula_sum 'Ta4 Tl4 Cu4 Ni4'
_symmetry_space_group_name_H-M 'P 1'
_symmetry_Int_Tables_number 1
_cell_length_a 6.344
_cell_length_b 6.344
_cell_length_c 6.344
_cell_angle_alpha 90.00
_cell_angle_beta 90.00
_cell_angle_gamma 90.00
loop_
_symmetry_equiv_pos_as_xyz
'x,y,z'
loop_
_atom_site_label
_atom_site_type_symbol
_atom_site_fract_x
_atom_site_fract_y
_atom_site_fract_z
_atom_site_occupancy
Ta1 Ta 0.000 0.000 0.000 1
Ta2 Ta 0.000 0.500 0.500 1
Ta3 Ta 0.500 0.000 0.500 1
Ta4 Ta 0.500 0.500 0.000 1
Tl1 Tl 0.250 0.250 0.250 1
Tl2 Tl 0.250 0.750 0.750 1
Tl3 Tl 0.750 0.250 0.750 1
Tl4 Tl 0.750 0.750 0.250 1
Cu1 Cu 0.250 0.250 0.750 1
Cu2 Cu 0.250 0.750 0.250 1
Cu3 Cu 0.750 0.250 0.250 1
Cu4 Cu 0.750 0.750 0.750 1
Ni1 Ni 0.000 0.000 0.500 1
Ni2 Ni 0.000 0.500 0.000 1
Ni3 Ni 0.500 0.000 0.000 1
Ni4 Ni 0.500 0.500 0.500 1
# excess energy over the best structure of this formula in the dataset = 0.2424 eV per atom
# space group = F-43m
# theoretical density = 13.20 g cm⁻³
# total DFT energy (no corrections) = -5.371 eV/atom

(2)
# TaTlCuNi, optimized geometry, DFT PBE
data_TaTlCuNi
_chemical_formula_sum 'Ta4 Tl4 Cu4 Ni4'
_symmetry_space_group_name_H-M 'P 1'
_symmetry_Int_Tables_number 1
_cell_length_a 6.352
_cell_length_b 6.352
_cell_length_c 6.352
_cell_angle_alpha 90.00
_cell_angle_beta 90.00
_cell_angle_gamma 90.00
loop_
_symmetry_equiv_pos_as_xyz
'x,y,z'
loop_
_atom_site_label
_atom_site_type_symbol
_atom_site_fract_x
_atom_site_fract_y
_atom_site_fract_z
_atom_site_occupancy
Ta1 Ta 0.000 0.000 0.000 1
Ta2 Ta 0.000 0.500 0.500 1
Ta3 Ta 0.500 0.000 0.500 1
Ta4 Ta 0.500 0.500 0.000 1
Tl1 Tl 0.250 0.250 0.250 1
Tl2 Tl 0.250 0.750 0.750 1
Tl3 Tl 0.750 0.250 0.750 1
Tl4 Tl 0.750 0.750 0.250 1
Cu1 Cu 0.000 0.000 0.500 1
Cu2 Cu 0.000 0.500 0.000 1
Cu3 Cu 0.500 0.000 0.000 1
Cu4 Cu 0.500 0.500 0.500 1
Ni1 Ni 0.250 0.250 0.750 1
Ni2 Ni 0.250 0.750 0.250 1
Ni3 Ni 0.750 0.250 0.250 1
Ni4 Ni 0.750 0.750 0.750 1
# excess energy over the best structure of this formula in the dataset = 0.1864 eV per atom
# space group = F-43m
# theoretical density = 13.15 g cm⁻³
# total DFT energy (no corrections) = -5.427 eV/atom

(3)
# TaTlCuNi, optimized geometry, DFT PBE
data_TaTlCuNi
_chemical_formula_sum 'Ta4 Tl4 Cu4 Ni4'
_symmetry_space_group_name_H-M 'P 1'
_symmetry_Int_Tables_number 1
_cell_length_a 6.283
_cell_length_b 6.283
_cell_length_c 6.283
_cell_angle_alpha 90.00
_cell_angle_beta 90.00
_cell_angle_gamma 90.00
loop_
_symmetry_equiv_pos_as_xyz
'x,y,z'
loop_
_atom_site_label
_atom_site_type_symbol
_atom_site_fract_x
_atom_site_fract_y
_atom_site_fract_z
_atom_site_occupancy
Ta1 Ta 0.000 0.000 0.000 1
Ta2 Ta 0.000 0.500 0.500 1
Ta3 Ta 0.500 0.000 0.500 1
Ta4 Ta 0.500 0.500 0.000 1
Tl1 Tl 0.000 0.000 0.500 1
Tl2 Tl 0.000 0.500 0.000 1
Tl3 Tl 0.500 0.000 0.000 1
Tl4 Tl 0.500 0.500 0.500 1
Cu1 Cu 0.250 0.250 0.750 1
Cu2 Cu 0.250 0.750 0.250 1
Cu3 Cu 0.750 0.250 0.250 1
Cu4 Cu 0.750 0.750 0.750 1
Ni1 Ni 0.250 0.250 0.250 1
Ni2 Ni 0.250 0.750 0.750 1
Ni3 Ni 0.750 0.250 0.750 1
Ni4 Ni 0.750 0.750 0.250 1
# excess energy over the best structure of this formula in the dataset = 0.0000 eV per atom
# space group = F-43m
# theoretical density = 13.60 g cm⁻³
# total DFT energy (no corrections) = -5.614 eV/atom

(4)
# TaZnCuNi, optimized geometry, DFT PBE
data_TaZnCuNi
_chemical_formula_sum 'Ta4 Zn4 Cu4 Ni4'
_symmetry_space_group_name_H-M 'P 1'
_symmetry_Int_Tables_number 1
_cell_length_a 5.992
_cell_length_b 5.992
_cell_length_c 5.992
_cell_angle_alpha 90.00
_cell_angle_beta 90.00
_cell_angle_gamma 90.00
loop_
_symmetry_equiv_pos_as_xyz
'x,y,z'
loop_
_atom_site_label
_atom_site_type_symbol
_atom_site_fract_x
_atom_site_fract_y
_atom_site_fract_z
_atom_site_occupancy
Ta1 Ta 0.000 0.000 0.000 1
Ta2 Ta 0.000 0.500 0.500 1
Ta3 Ta 0.500 0.000 0.500 1
Ta4 Ta 0.500 0.500 0.000 1
Zn1 Zn 0.250 0.250 0.250 1
Zn2 Zn 0.250 0.750 0.750 1
Zn3 Zn 0.750 0.250 0.750 1
Zn4 Zn 0.750 0.750 0.250 1
Cu1 Cu 0.250 0.250 0.750 1
Cu2 Cu 0.250 0.750 0.250 1
Cu3 Cu 0.750 0.250 0.250 1
Cu4 Cu 0.750 0.750 0.750 1
Ni1 Ni 0.000 0.000 0.500 1
Ni2 Ni 0.000 0.500 0.000 1
Ni3 Ni 0.500 0.000 0.000 1
Ni4 Ni 0.500 0.500 0.500 1
# ΔE_f = 23.5 kJ/mol of formula units
# excess energy over the best structure of this formula in the dataset = 0.1723 eV per atom
# space group = F-43m
# theoretical density = 11.38 g cm⁻³
# total DFT energy (no corrections) = -5.540 eV/atom

(5)
# TaZnCuNi, optimized geometry, DFT PBE
data_TaZnCuNi
_chemical_formula_sum 'Ta4 Zn4 Cu4 Ni4'
_symmetry_space_group_name_H-M 'P 1'
_symmetry_Int_Tables_number 1
_cell_length_a 5.994
_cell_length_b 5.994
_cell_length_c 5.994
_cell_angle_alpha 90.00
_cell_angle_beta 90.00
_cell_angle_gamma 90.00
loop_
_symmetry_equiv_pos_as_xyz
'x,y,z'
loop_
_atom_site_label
_atom_site_type_symbol
_atom_site_fract_x
_atom_site_fract_y
_atom_site_fract_z
_atom_site_occupancy
Ta1 Ta 0.000 0.000 0.000 1
Ta2 Ta 0.000 0.500 0.500 1
Ta3 Ta 0.500 0.000 0.500 1
Ta4 Ta 0.500 0.500 0.000 1
Zn1 Zn 0.000 0.000 0.500 1
Zn2 Zn 0.000 0.500 0.000 1
Zn3 Zn 0.500 0.000 0.000 1
Zn4 Zn 0.500 0.500 0.500 1
Cu1 Cu 0.250 0.250 0.750 1
Cu2 Cu 0.250 0.750 0.250 1
Cu3 Cu 0.750 0.250 0.250 1
Cu4 Cu 0.750 0.750 0.750 1
Ni1 Ni 0.250 0.250 0.250 1
Ni2 Ni 0.250 0.750 0.750 1
Ni3 Ni 0.750 0.250 0.750 1
Ni4 Ni 0.750 0.750 0.250 1
# ΔE_f = -43.0 kJ/mol of formula units
# excess energy over the best structure of this formula in the dataset = 0.0000 eV per atom
# space group = F-43m
# theoretical density = 11.37 g cm⁻³
# total DFT energy (no corrections) = -5.712 eV/atom

(6)
# TaZnCuNi, optimized geometry, DFT PBE
data_TaZnCuNi
_chemical_formula_sum 'Ta4 Zn4 Cu4 Ni4'
_symmetry_space_group_name_H-M 'P 1'
_symmetry_Int_Tables_number 1
_cell_length_a 5.997
_cell_length_b 5.997
_cell_length_c 5.997
_cell_angle_alpha 90.00
_cell_angle_beta 90.00
_cell_angle_gamma 90.00
loop_
_symmetry_equiv_pos_as_xyz
'x,y,z'
loop_
_atom_site_label
_atom_site_type_symbol
_atom_site_fract_x
_atom_site_fract_y
_atom_site_fract_z
_atom_site_occupancy
Ta1 Ta 0.000 0.000 0.000 1
Ta2 Ta 0.000 0.500 0.500 1
Ta3 Ta 0.500 0.000 0.500 1
Ta4 Ta 0.500 0.500 0.000 1
Zn1 Zn 0.250 0.250 0.250 1
Zn2 Zn 0.250 0.750 0.750 1
Zn3 Zn 0.750 0.250 0.750 1
Zn4 Zn 0.750 0.750 0.250 1
Cu1 Cu 0.000 0.000 0.500 1
Cu2 Cu 0.000 0.500 0.000 1
Cu3 Cu 0.500 0.000 0.000 1
Cu4 Cu 0.500 0.500 0.500 1
Ni1 Ni 0.250 0.250 0.750 1
Ni2 Ni 0.250 0.750 0.250 1
Ni3 Ni 0.750 0.250 0.250 1
Ni4 Ni 0.750 0.750 0.750 1
# ΔE_f = -7.5 kJ/mol of formula units
# excess energy over the best structure of this formula in the dataset = 0.0918 eV per atom
# space group = F-43m
# theoretical density = 11.35 g cm⁻³
# total DFT energy (no corrections) = -5.620 eV/atom

(7)
# Tb2CuNi, optimized geometry, DFT PBE
data_Tb2CuNi
_chemical_formula_sum 'Tb4 Cu2 Ni2'
_symmetry_space_group_name_H-M 'P 1'
_symmetry_Int_Tables_number 1
_cell_length_a 5.454
_cell_length_b 4.402
_cell_length_c 7.425
_cell_angle_alpha 90.00
_cell_angle_beta 109.95
_cell_angle_gamma 90.00
loop_
_symmetry_equiv_pos_as_xyz
'x,y,z'
loop_
_atom_site_label
_atom_site_type_symbol
_atom_site_fract_x
_atom_site_fract_y
_atom_site_fract_z
_atom_site_occupancy
Tb1 Tb 0.218 0.250 0.433 1
Tb2 Tb 0.226 0.250 0.929 1
Tb3 Tb 0.774 0.750 0.071 1
Tb4 Tb 0.782 0.750 0.567 1
Cu1 Cu 0.353 0.750 0.214 1
Cu2 Cu 0.647 0.250 0.786 1
Ni1 Ni 0.358 0.750 0.715 1
Ni2 Ni 0.642 0.250 0.285 1
# ΔE_f = -137.5 kJ/mol of formula units
# space group = P2_1/m
# theoretical density = 8.72 g cm⁻³
# total DFT energy (no corrections) = -4.992 eV/atom

(8)
# Tb2Cu5Ni5, optimized geometry, DFT PBE
data_Tb2Cu5Ni5
_chemical_formula_sum 'Tb2 Cu5 Ni5'
_symmetry_space_group_name_H-M 'P 1'
_symmetry_Int_Tables_number 1
_cell_length_a 4.034
_cell_length_b 4.926
_cell_length_c 8.511
_cell_angle_alpha 90.00
_cell_angle_beta 90.00
_cell_angle_gamma 90.00
loop_
_symmetry_equiv_pos_as_xyz
'x,y,z'
loop_
_atom_site_label
_atom_site_type_symbol
_atom_site_fract_x
_atom_site_fract_y
_atom_site_fract_z
_atom_site_occupancy
Tb1 Tb 0.000 0.000 0.000 1
Tb2 Tb 0.000 0.500 0.500 1
Cu1 Cu 0.500 0.000 0.500 1
Cu2 Cu 0.500 0.250 0.249 1
Cu3 Cu 0.500 0.250 0.751 1
Cu4 Cu 0.500 0.750 0.249 1
Cu5 Cu 0.500 0.750 0.751 1
Ni1 Ni 0.000 0.000 0.335 1
Ni2 Ni 0.000 0.000 0.665 1
Ni3 Ni 0.000 0.500 0.162 1
Ni4 Ni 0.000 0.500 0.838 1
Ni5 Ni 0.500 0.500 0.000 1
# ΔE_f = -331.8 kJ/mol of formula units
# space group = Pmmm
# theoretical density = 9.12 g cm⁻³
# total DFT energy (no corrections) = -4.927 eV/atom

(9)
# Tb2Cu4Ni3, optimized geometry, DFT PBE
data_Tb2Cu4Ni3
_chemical_formula_sum 'Tb2 Cu4 Ni3'
_symmetry_space_group_name_H-M 'P 1'
_symmetry_Int_Tables_number 1
_cell_length_a 7.630
_cell_length_b 6.751
_cell_length_c 4.959
_cell_angle_alpha 79.71
_cell_angle_beta 60.53
_cell_angle_gamma 39.75
loop_
_symmetry_equiv_pos_as_xyz
'x,y,z'
loop_
_atom_site_label
_atom_site_type_symbol
_atom_site_fract_x
_atom_site_fract_y
_atom_site_fract_z
_atom_site_occupancy
Tb1 Tb 0.131 0.131 0.869 1
Tb2 Tb 0.869 0.869 0.131 1
Cu1 Cu 0.163 0.501 0.499 1
Cu2 Cu 0.499 0.837 0.163 1
Cu3 Cu 0.501 0.163 0.837 1
Cu4 Cu 0.837 0.499 0.501 1
Ni1 Ni 0.000 0.000 0.500 1
Ni2 Ni 0.500 0.500 0.000 1
Ni3 Ni 0.500 0.500 0.500 1
# ΔE_f = -267.9 kJ/mol of formula units
# space group = Fmmm
# theoretical density = 9.36 g cm⁻³
# total DFT energy (no corrections) = -4.845 eV/atom

(10)
# TbCu2Ni3, optimized geometry, DFT PBE
data_TbCu2Ni3
_chemical_formula_sum 'Tb1 Cu2 Ni3'
_symmetry_space_group_name_H-M 'P 1'
_symmetry_Int_Tables_number 1
_cell_length_a 4.950
_cell_length_b 4.950
_cell_length_c 3.971
_cell_angle_alpha 90.00
_cell_angle_beta 90.00
_cell_angle_gamma 120.00
loop_
_symmetry_equiv_pos_as_xyz
'x,y,z'
loop_
_atom_site_label
_atom_site_type_symbol
_atom_site_fract_x
_atom_site_fract_y
_atom_site_fract_z
_atom_site_occupancy
Tb1 Tb 0.000 0.000 0.000 1
Cu1 Cu 0.333 0.667 0.000 1
Cu2 Cu 0.667 0.333 0.000 1
Ni1 Ni 0.000 0.500 0.500 1
Ni2 Ni 0.500 0.000 0.500 1
Ni3 Ni 0.500 0.500 0.500 1
# ΔE_f = -168.4 kJ/mol of formula units
# space group = P6/mmm
# theoretical density = 9.10 g cm⁻³
# total DFT energy (no corrections) = -5.085 eV/atom

(11)
# TbTm2Tl3CuNi2, optimized geometry, DFT PBE
data_TbTm2Tl3CuNi2
_chemical_formula_sum 'Tb1 Tm2 Tl3 Cu1 Ni2'
_symmetry_space_group_name_H-M 'P 1'
_symmetry_Int_Tables_number 1
_cell_length_a 3.773
_cell_length_b 7.547
_cell_length_c 7.547
_cell_angle_alpha 120.13
_cell_angle_beta 90.00
_cell_angle_gamma 90.00
loop_
_symmetry_equiv_pos_as_xyz
'x,y,z'
loop_
_atom_site_label
_atom_site_type_symbol
_atom_site_fract_x
_atom_site_fract_y
_atom_site_fract_z
_atom_site_occupancy
Tb1 Tb 0.000 0.000 0.000 1
Tm1 Tm 0.000 0.409 0.819 1
Tm2 Tm 0.000 0.819 0.409 1
Tl1 Tl 0.500 0.145 0.411 1
Tl2 Tl 0.500 0.411 0.145 1
Tl3 Tl 0.500 0.673 0.673 1
Cu1 Cu 0.000 0.411 0.411 1
Ni1 Ni 0.500 0.078 0.741 1
Ni2 Ni 0.500 0.741 0.078 1
# space group = Amm2
# theoretical density = 11.53 g cm⁻³
# total DFT energy (no corrections) = -4.273 eV/atom

(12)
# CuNi3Te5, optimized geometry, DFT PBE
data_CuNi3Te5
_chemical_formula_sum 'Cu1 Ni3 Te5'
_symmetry_space_group_name_H-M 'P 1'
_symmetry_Int_Tables_number 1
_cell_length_a 5.502
_cell_length_b 5.502
_cell_length_c 7.589
_cell_angle_alpha 90.00
_cell_angle_beta 90.00
_cell_angle_gamma 120.00
loop_
_symmetry_equiv_pos_as_xyz
'x,y,z'
loop_
_atom_site_label
_atom_site_type_symbol
_atom_site_fract_x
_atom_site_fract_y
_atom_site_fract_z
_atom_site_occupancy
Cu1 Cu 0.000 0.000 0.000 1
Ni1 Ni 0.000 0.500 0.500 1
Ni2 Ni 0.500 0.000 0.500 1
Ni3 Ni 0.500 0.500 0.500 1
Te1 Te 0.000 0.000 0.500 1
Te2 Te 0.333 0.667 0.228 1
Te3 Te 0.333 0.667 0.772 1
Te4 Te 0.667 0.333 0.228 1
Te5 Te 0.667 0.333 0.772 1
# space group = P6/mmm
# theoretical density = 7.33 g cm⁻³
# total DFT energy (no corrections) = -3.863 eV/atom